Record 1
VASP calculation (GGA-PBE) on a relaxed structure of HoZnGa2Ag. Values from VASP.

Total energy = -3.335 eV/atom
Symmetry = I-4m2 (119)
Formation enthalpy at 0 K = -383 meV/atom

```
&SYSTEM
  ibrav = 0, nat = 5, ntyp = 4
/
ATOMIC_SPECIES
Ho 164.93 Ho.upf
Zn 65.41 Zn.upf
Ga 69.72 Ga.upf
Ag 107.87 Ag.upf
ATOMIC_POSITIONS crystal
Ho 0.000 0.000 0.000
Zn 0.750 0.250 0.500
Ga 0.390 0.390 0.000
Ga 0.610 0.610 0.000
Ag 0.250 0.750 0.500
CELL_PARAMETERS angstrom
-2.085 2.085 5.489
2.085 -2.085 5.489
2.085 2.085 -5.489
```

---

Record 2
VASP calculation (GGA-PBE) on a relaxed structure of Dy2ScIn3. Values from VASP.

Total energy = -4.406 eV/atom
Symmetry = P4/mmm (123)
Formation enthalpy at 0 K = -447 meV/atom
Excess energy over the best structure of this formula in the dataset = 0.00 kcal/mol of atoms

```
&SYSTEM
  ibrav = 0, nat = 6, ntyp = 3
/
ATOMIC_SPECIES
Dy 162.50 Dy.upf
Sc 44.96 Sc.upf
In 114.82 In.upf
ATOMIC_POSITIONS crystal
Dy 0.000 0.000 0.173
Dy 0.000 0.000 0.827
Sc 0.000 0.000 0.500
In 0.500 0.500 0.000
In 0.500 0.500 0.346
In 0.500 0.500 0.654
CELL_PARAMETERS angstrom
3.503 0.000 0.000
0.000 3.503 0.000
0.000 0.000 12.285
```

---

Record 3
VASP calculation (GGA-PBE) on a relaxed structure of LaCrRe2Pt. Values from VASP.

Total energy = -6.128 eV/atom
Symmetry = P4/mmm (123)
Formation enthalpy at 0 K = 2970 meV/atom

```
&SYSTEM
  ibrav = 0, nat = 5, ntyp = 4
/
ATOMIC_SPECIES
La 138.91 La.upf
Cr 52.00 Cr.upf
Re 186.21 Re.upf
Pt 195.08 Pt.upf
ATOMIC_POSITIONS crystal
La 0.000 0.000 0.000
Cr 0.500 0.500 0.500
Re 0.000 0.500 0.000
Re 0.500 0.000 0.000
Pt 0.000 0.000 0.500
CELL_PARAMETERS angstrom
4.819 0.000 0.000
0.000 4.819 0.000
0.000 0.000 4.974
```